PBE Tl2CdSn, relaxed; total energy = -2.336 eV per atom; energy above the most stable polymorph in this dataset = 54 meV per atom; crystal system = tetragonal; calculated formation energy = 0.077 eV/atom
1.0
4.974 0.000 0.000
0.000 4.974 0.000
0.000 0.000 4.541
Tl Cd Sn
2 1 1
Cartesian
0.000 2.487 0.000 Tl
2.487 0.000 0.000 Tl
0.000 0.000 2.271 Cd
2.487 2.487 2.271 Sn